Record 1
# Pr7O12

A relaxed Pr7O12 crystal (PBE-GGA, Alexandria via LeMat-Bulk).

The structure belongs to space group R-3 (No. 148, hexagonal axes); the cell edges are 10.6339, 10.6339 and 9.8650 Å and the angles 90.00°, 90.00° and 120.00°. The asymmetric unit holds Pr at (0.0000, 0.0000, 0.0000), Pr at (0.0487, 0.7896, 0.6509), O at (0.0390, 0.8181, 0.3995) and O at (0.0460, 0.8270, 0.8936).

***

Record 2
# PrO2

A relaxed PrO2 crystal (PBE-GGA, Alexandria via LeMat-Bulk).

The structure belongs to space group Fm-3m (No. 225); the cell edges are 5.724, 5.724 and 5.724 Å and the angles 90.00°, 90.00° and 90.00°. The asymmetric unit holds Pr at (0.000, 0.000, 0.000) and O at (0.250, 0.250, 0.250).

***

Record 3
# Pr2O

A relaxed Pr2O crystal (PBE-GGA, Alexandria via LeMat-Bulk).

The structure belongs to space group C2/m (No. 12); the cell edges are 6.481, 3.752 and 6.481 Å and the angles 90.00°, 109.32° and 90.00°. The asymmetric unit holds Pr at (0.240, 0.000, 0.223) and O at (0.000, 0.500, 0.000).

The energy above the most stable polymorph in this dataset is 125.0 meV/atom.

***

Record 4
# Pr4PtO7

A relaxed Pr4PtO7 crystal (PBE-GGA, Alexandria via LeMat-Bulk).

The structure belongs to space group C2/m (No. 12); the cell edges are 13.323, 4.058 and 9.400 Å and the angles 90.00°, 133.00° and 90.00°. The asymmetric unit holds Pr at (0.087, 0.000, 0.394), Pr at (0.249, 0.000, 0.160), Pt at (0.000, 0.500, 0.000), O at (0.000, 0.000, 0.000), O at (0.092, 0.500, 0.892), O at (0.131, 0.000, 0.692) and O at (0.202, 0.500, 0.553).

***

Record 5
# Pr2PtO5

A relaxed Pr2PtO5 crystal (PBE-GGA, Alexandria via LeMat-Bulk).

The structure belongs to space group I4mm (No. 107); the cell edges are 5.663, 5.663 and 6.966 Å and the angles 90.00°, 90.00° and 90.00°. The asymmetric unit holds Pr at (0.000, 0.500, 0.000), Pt at (0.000, 0.000, 0.279), O at (0.000, 0.000, 0.004) and O at (0.250, 0.250, 0.262).

***

Record 6
# Pr6Pt2O

A relaxed Pr6Pt2O crystal (PBE-GGA, Alexandria via LeMat-Bulk).

The structure belongs to space group P2_1/c (No. 14); the cell edges are 6.679, 7.339 and 12.097 Å and the angles 90.00°, 123.07° and 90.00°. The asymmetric unit holds Pr at (0.108, 0.030, 0.241), Pr at (0.232, 0.687, 0.061), Pr at (0.380, 0.173, 0.062), Pt at (0.310, 0.110, 0.749) and O at (0.000, 0.000, 0.000).

***

Number 1: raw formation energy -56.3 eV/f.u.. Number 2: raw formation energy -7.7 eV/f.u.. Number 3: raw formation energy -5.0 eV/f.u.. Number 4: raw formation energy -33.7 eV/f.u.. Number 5: raw formation energy -15.5 eV/f.u.. Number 6: raw formation energy -10.1 eV/f.u..